This record from the Alexandria database describes an optimized crystal structure of TcHg2As. The functional is PBE-GGA.

Computed properties:
- formation energy (kJ/mol of atoms) = 15.9
- total moment (μB/f.u.) = 0.00
- volume (Å³/cell) = 84

Unit cell a=3.1345 b=3.1345 c=8.5034 alpha=90.00 beta=90.00 gamma=90.00
With the nearest neighbours (Å) after each atom.
Space group P4mm (No. 99)
Unique sites:
1 Tc 0.0000 0.0000 0.0000 [1 per cell]  4 As 2.54
2 Hg 0.0000 0.0000 0.4498 [1 per cell]  8 Hg 3.13-3.51, 4 As 3.40
3 Hg 0.5000 0.5000 0.7698 [1 per cell]  4 Tc 2.96, 4 Hg 3.13, 1 As 3.20
4 As 0.5000 0.5000 0.1462 [1 per cell]  4 Tc 2.54

This record from the Alexandria database describes an optimized crystal structure of KMgP3. The functional is PBE-GGA.

Computed properties:
- formation energy (kJ/mol of atoms) = 162.7
- E above lowest polymorph (meV/atom) = 1212
- total moment (μB/f.u.) = 0.00
- volume (Å³/cell) = 142

Unit cell a=5.2124 b=5.2124 c=5.2124 alpha=90.00 beta=90.00 gamma=90.00
With the nearest neighbours (Å) after each atom.
Space group Pm-3m (No. 221)
Unique sites:
1 K 0.0000 0.0000 0.0000 [1 per cell]  6 P 2.61
2 Mg 0.5000 0.5000 0.5000 [1 per cell]  12 P 3.69
3 P 0.0000 0.0000 0.5000 [3 per cell]  2 K 2.61

This record from the Alexandria database describes an optimized crystal structure of AlReMo2. The functional is PBE-GGA.

Computed properties:
- formation energy (kJ/mol of atoms) = 8.6
- total moment (μB/f.u.) = 0.00
- volume (Å³/cell) = 61

Unit cell a=3.8517 b=3.8517 c=4.1342 alpha=90.00 beta=90.00 gamma=90.00
With the nearest neighbours (Å) after each atom.
Space group P4/mmm (No. 123)
Unique sites:
1 Al 0.0000 0.0000 0.0000 [1 per cell]  4 Re 2.72, 8 Mo 2.83
2 Re 0.5000 0.5000 0.0000 [1 per cell]  4 Al 2.72, 8 Mo 2.83
3 Mo 0.0000 0.5000 0.5000 [2 per cell]  4 Mo 2.72, 4 Re 2.83, 4 Al 2.83

This record from the Alexandria database describes an optimized crystal structure of CaHg4As. The functional is PBE-GGA.

Computed properties:
- formation energy (kJ/mol of atoms) = -2.2
- total moment (μB/f.u.) = 0.00
- volume (Å³/cell) = 614

Unit cell a=8.5010 b=8.5010 c=8.5010 alpha=90.00 beta=90.00 gamma=90.00
With the nearest neighbours (Å) after each atom.
Space group F-43m (No. 216)
Unique sites:
1 Ca 0.0000 0.0000 0.0000 [4 per cell]  12 Hg 3.53, 4 As 3.68
2 Hg 0.1245 0.1245 0.6245 [16 per cell]  6 Hg 2.99-3.02
3 As 0.2500 0.2500 0.2500 [4 per cell]  12 Hg 3.52, 4 Ca 3.68

This record from the Alexandria database describes an optimized crystal structure of Te3Se. The functional is PBE-GGA.

Computed properties:
- raw formation energy (eV per atom) = 0.18
- total moment (μB/f.u.) = 0.00
- volume (Å³/cell) = 560

Unit cell a=8.1120 b=15.0528 c=4.5872 alpha=90.00 beta=90.00 gamma=90.00
With the nearest neighbours (Å) after each atom.
Space group Cmcm (No. 63)
Unique sites:
1 Te 0.0000 0.0697 0.2500 [4 per cell]  6 Te 3.11-3.31
2 Te 0.2027 0.1844 0.7500 [8 per cell]  1 Se 2.65
3 Se 0.0000 0.3889 0.2500 [4 per cell]  2 Te 2.65

This record from the Alexandria database describes an optimized crystal structure of Sr3CaZn8. The functional is PBE-GGA.

Computed properties:
- formation energy (kJ/mol of atoms) = -17.6
- total moment (μB/f.u.) = 0.00
- volume (Å³/cell) = 808

Unit cell a=5.7410 b=5.7410 c=28.3049 alpha=90.00 beta=90.00 gamma=120.00
With the nearest neighbours (Å) after each atom.
Space group R3m (No. 160, hexagonal axes)
Unique sites:
1 Sr 0.0000 0.0000 0.0000 [3 per cell]  12 Zn 3.37-3.42, 4 Sr 3.53-3.56
2 Sr 0.0000 0.0000 0.1257 [3 per cell]  12 Zn 3.32-3.37, 3 Ca 3.51, 1 Sr 3.56
3 Sr 0.0000 0.0000 0.6235 [3 per cell]  12 Zn 3.37-3.45, 1 Ca 3.51, 3 Sr 3.53
4 Ca 0.0000 0.0000 0.4994 [3 per cell]  12 Zn 3.33-3.36, 4 Sr 3.51
5 Zn 0.0000 0.0000 0.3109 [3 per cell]  6 Zn 2.88-2.94
6 Zn 0.0000 0.0000 0.8135 [3 per cell]  6 Zn 2.83-2.89
7 Zn 0.0026 0.5013 0.0636 [9 per cell]  6 Zn 2.85-2.94
8 Zn 0.1672 0.3344 0.8942 [9 per cell]  6 Zn 2.83-2.88

This record from the Alexandria database describes an optimized crystal structure of Li2ZnReGe. The functional is PBE-GGA.

Computed properties:
- formation energy (kJ/mol of atoms) = 100.7
- total moment (μB/f.u.) = 2.15
- volume (Å³/cell) = 82

Unit cell a=4.2072 b=4.2072 c=4.6575 alpha=90.00 beta=90.00 gamma=90.00
With the nearest neighbours (Å) after each atom.
Space group P4/mmm (No. 123)
Unique sites:
1 Li 0.0000 0.5000 0.0000 [2 per cell]  2 Zn 2.10
2 Zn 0.0000 0.0000 0.0000 [1 per cell]  4 Li 2.10, 2 Ge 2.33
3 Re 0.5000 0.5000 0.5000 [1 per cell]  4 Ge 2.97, 8 Li 3.14
4 Ge 0.0000 0.0000 0.5000 [1 per cell]  2 Zn 2.33

This record from the Alexandria database describes an optimized crystal structure of PIr2Pb. The functional is PBE-GGA.

Computed properties:
- formation energy (kJ/mol of atoms) = 60.1
- E above lowest polymorph (meV/atom) = 679
- total moment (μB/f.u.) = 0.00
- volume (Å³/cell) = 270

Unit cell a=6.4657 b=6.4657 c=6.4657 alpha=90.00 beta=90.00 gamma=90.00
With the nearest neighbours (Å) after each atom.
Space group Fm-3m (No. 225)
Unique sites:
1 P 0.0000 0.0000 0.0000 [4 per cell]  8 Ir 2.80
2 Ir 0.2500 0.2500 0.2500 [8 per cell]  4 Pb 2.80, 4 P 2.80
3 Pb 0.0000 0.0000 0.5000 [4 per cell]  8 Ir 2.80

This record from the Alexandria database describes an optimized crystal structure of HfCuNi2H. The functional is PBE-GGA.

Computed properties:
- E above lowest polymorph (meV/atom) = 0
- total moment (μB/f.u.) = 0.00
- volume (Å³/cell) = 57

Unit cell a=3.7665 b=3.7665 c=4.0288 alpha=90.00 beta=90.00 gamma=90.00
With the nearest neighbours (Å) after each atom.
Space group P4/mmm (No. 123)
Unique sites:
1 Hf 0.0000 0.0000 0.0000 [1 per cell]  2 H 2.01
2 Cu 0.5000 0.5000 0.0000 [1 per cell]  4 Hf 2.66, 8 Ni 2.76
3 Ni 0.0000 0.5000 0.5000 [2 per cell]  2 H 1.88
4 H 0.0000 0.0000 0.5000 [1 per cell]  4 Ni 1.88, 2 Hf 2.01

This record from the Alexandria database describes an optimized crystal structure of ScTcPbO6. The functional is PBE-GGA.

Computed properties:
- raw formation energy (eV per atom) = -1.84
- total moment (μB/f.u.) = 0.00
- volume (Å³/cell) = 129

Unit cell a=5.3556 b=5.3556 c=5.1948 alpha=90.00 beta=90.00 gamma=120.00
With the nearest neighbours (Å) after each atom.
Space group P312 (No. 149)
Unique sites:
1 Sc 0.0000 0.0000 0.0000 [1 per cell]  6 O 2.10
2 Tc 0.3333 0.6667 0.0000 [1 per cell]  6 O 1.91
3 Pb 0.6667 0.3333 0.5000 [1 per cell]  6 O 2.52
4 O 0.0574 0.3598 0.2099 [6 per cell]  1 Tc 1.91, 1 Sc 2.10

This record from the Alexandria database describes an optimized crystal structure of Cd3SCl3. The functional is PBE-GGA.

Computed properties:
- raw formation energy (eV per atom) = -0.72
- total moment (μB/f.u.) = 0.00
- volume (Å³/cell) = 1082

Unit cell a=6.6431 b=6.6431 c=28.3166 alpha=90.00 beta=90.00 gamma=120.00
With the nearest neighbours (Å) after each atom.
Space group R-3 (No. 148, hexagonal axes)
Unique sites:
1 Cd 0.0000 0.3131 0.4473 [18 per cell]  3 Cl 2.64-2.78, 2 S 2.73
2 S 0.0000 0.0000 0.1667 [6 per cell]  6 Cd 2.73
3 Cl 0.0001 0.3360 0.6062 [18 per cell]  3 Cd 2.64-2.78

This record from the Alexandria database describes an optimized crystal structure of Ce2Cu7. The functional is PBE-GGA.

Computed properties:
- formation energy (kJ/mol of atoms) = -9.5
- total moment (μB/f.u.) = 1.53
- volume (Å³/cell) = 865

Unit cell a=5.1424 b=5.1424 c=37.7900 alpha=90.00 beta=90.00 gamma=120.00
With the nearest neighbours (Å) after each atom.
Space group R-3m (No. 166, hexagonal axes)
Unique sites:
1 Ce 0.0000 0.0000 0.0525 [6 per cell]  12 Cu 2.97-3.25
2 Ce 0.0000 0.0000 0.1525 [6 per cell]  12 Cu 3.02-3.11, 3 Ce 3.16
3 Cu 0.0000 0.0000 0.2787 [6 per cell]  6 Cu 2.53-2.54
4 Cu 0.0000 0.0000 0.3872 [6 per cell]  6 Cu 2.52-2.54
5 Cu 0.0000 0.0000 0.5000 [3 per cell]  6 Cu 2.65
6 Cu 0.0000 0.5000 0.0000 [9 per cell]  8 Cu 2.52-2.57
7 Cu 0.0021 0.5010 0.1086 [18 per cell]  7 Cu 2.53-2.65

This record from the Alexandria database describes an optimized crystal structure of PmDy5Cd6. The functional is PBE-GGA.

Computed properties:
- formation energy (kJ/mol of atoms) = -30.5
- total moment (μB/f.u.) = 0.81
- volume (Å³/cell) = 637

Unit cell a=5.2958 b=15.9186 c=7.5588 alpha=90.00 beta=90.00 gamma=90.00
With the nearest neighbours (Å) after each atom.
Space group Cmmm (No. 65)
Unique sites:
1 Pm 0.0000 0.0000 0.0000 [2 per cell]  8 Cd 3.27-3.30
2 Dy 0.0000 0.0000 0.5000 [2 per cell]  8 Cd 3.24-3.27
3 Dy 0.0000 0.3324 0.0000 [4 per cell]  8 Cd 3.23-3.29
4 Dy 0.0000 0.3350 0.5000 [4 per cell]  8 Cd 3.22-3.24
5 Cd 0.0000 0.1689 0.2540 [8 per cell]  7 Dy 3.23-3.27, 1 Pm 3.30
6 Cd 0.0000 0.5000 0.2538 [4 per cell]  6 Dy 3.22-3.29, 2 Pm 3.27

This record from the Alexandria database describes an optimized crystal structure of ScAs. The functional is PBE-GGA.

Computed properties:
- formation energy (kJ/mol of atoms) = -89.9
- total moment (μB/f.u.) = 0.00
- volume (Å³/cell) = 77

Unit cell a=5.0504 b=5.0504 c=3.0143 alpha=90.00 beta=90.00 gamma=90.00
With the nearest neighbours (Å) after each atom.
Space group P4/nmm (No. 129, origin choice 2)
Unique sites:
1 Sc 0.2500 0.2500 0.0744 [2 per cell]  8 As 2.83-3.06, 2 Sc 3.01
2 As 0.2500 0.7500 0.5000 [2 per cell]  8 Sc 2.83-3.06, 2 As 3.01

This record from the Alexandria database describes an optimized crystal structure of CuN. The functional is PBE-GGA.

Computed properties:
- E above lowest polymorph (meV/atom) = 803
- raw formation energy (eV per atom) = 1.18
- total moment (μB/f.u.) = 0.00
- volume (Å³/cell) = 22

Unit cell a=2.7450 b=2.7450 c=2.8887 alpha=90.00 beta=90.00 gamma=90.00
With the nearest neighbours (Å) after each atom.
Space group P4/mmm (No. 123)
Unique sites:
1 Cu 0.0000 0.0000 0.0000 [1 per cell]  4 N 1.94
2 N 0.5000 0.5000 0.0000 [1 per cell]  4 Cu 1.94

This record from the Alexandria database describes an optimized crystal structure of MnAgBr5. The functional is PBE-GGA.

Computed properties:
- raw formation energy (eV per atom) = -0.43
- total moment (μB/f.u.) = 3.52
- volume (Å³/cell) = 920

Unit cell a=15.2087 b=6.5655 c=10.0326 alpha=90.00 beta=113.34 gamma=90.00
With the nearest neighbours (Å) after each atom.
Space group C2/c (No. 15)
Unique sites:
1 Mn 0.0000 0.0000 0.0000 [4 per cell]  4 Br 2.42
2 Ag 0.0000 0.4024 0.2500 [4 per cell]  5 Br 2.77-2.78
3 Br 0.0000 0.1737 0.7500 [4 per cell]  2 Mn 2.76, 1 Ag 2.78
4 Br 0.1240 0.2381 0.5108 [8 per cell]  1 Mn 2.42
5 Br 0.1248 0.2361 0.1393 [8 per cell]  1 Mn 2.42

This record from the Alexandria database describes an optimized crystal structure of Li2NpTl2Se4. The functional is PBE-GGA.

Computed properties:
- raw formation energy (eV per atom) = -0.92
- total moment (μB/f.u.) = 3.00
- volume (Å³/cell) = 473

Unit cell a=15.4022 b=4.2572 c=7.7161 alpha=90.00 beta=110.77 gamma=90.00
With the nearest neighbours (Å) after each atom.
Space group C2/m (No. 12)
Unique sites:
1 Li 0.1822 0.0000 0.4881 [4 per cell]  4 Se 2.55-2.61
2 Np 0.0000 0.5000 0.5000 [2 per cell]  6 Se 2.84-2.85
3 Tl 0.1397 0.5000 0.0650 [4 per cell]  7 Se 3.36-3.58, 3 Li 3.57-3.76
4 Se 0.0138 0.0000 0.2667 [4 per cell]  1 Li 2.55, 2 Np 2.84
5 Se 0.1966 0.5000 0.6781 [4 per cell]  3 Li 2.55-2.61, 1 Np 2.85

This record from the Alexandria database describes an optimized crystal structure of Ti6Ga2Ge. The functional is PBE-GGA.

Computed properties:
- formation energy (kJ/mol of atoms) = -29.6
- total moment (μB/f.u.) = 0.00
- volume (Å³/cell) = 605

Unit cell a=7.8735 b=8.1773 c=9.4037 alpha=90.00 beta=90.00 gamma=90.00
With the nearest neighbours (Å) after each atom.
Space group Immm (No. 71)
Unique sites:
1 Ti 0.0000 0.2207 0.1741 [8 per cell]  3 Ga 2.57-2.74, 1 Ge 2.81, 2 Ti 2.82
2 Ti 0.1890 0.5000 0.2497 [8 per cell]  2 Ga 2.64-2.69, 2 Ge 2.78, 2 Ti 2.82
3 Ti 0.2057 0.2056 0.5000 [8 per cell]  3 Ga 2.63-2.64, 2 Ge 2.86-2.90, 2 Ti 2.90
4 Ga 0.0000 0.0000 0.3681 [4 per cell]  1 Ga 2.48, 8 Ti 2.57-2.69
5 Ga 0.1588 0.0000 0.0000 [4 per cell]  1 Ga 2.50, 8 Ti 2.63-2.74, 1 Ge 2.69
6 Ge 0.0000 0.5000 0.0000 [2 per cell]  12 Ti 2.78-2.86
7 Ge 0.0000 0.5000 0.5000 [2 per cell]  2 Ga 2.69, 8 Ti 2.78-2.90

This record from the Alexandria database describes an optimized crystal structure of TlNiTe. The functional is PBE-GGA.

Computed properties:
- raw formation energy (eV per atom) = 0.06
- total moment (μB/f.u.) = 0.00
- volume (Å³/cell) = 279

Unit cell a=6.5368 b=6.5368 c=6.5368 alpha=90.00 beta=90.00 gamma=90.00
With the nearest neighbours (Å) after each atom.
Space group F-43m (No. 216)
Unique sites:
1 Tl 0.0000 0.0000 0.0000 [4 per cell]  4 Ni 2.83
2 Ni 0.2500 0.2500 0.7500 [4 per cell]  4 Tl 2.83, 4 Te 2.83
3 Te 0.0000 0.0000 0.5000 [4 per cell]  4 Ni 2.83

This record from the Alexandria database describes an optimized crystal structure of GdSbAu2. The functional is PBE-GGA.

Computed properties:
- raw formation energy (eV per atom) = -0.59
- total moment (μB/f.u.) = 7.13
- volume (Å³/cell) = 90

Unit cell a=4.4304 b=4.4304 c=4.5733 alpha=90.00 beta=90.00 gamma=90.00
With the nearest neighbours (Å) after each atom.
Space group P4/mmm (No. 123)
Unique sites:
1 Gd 0.0000 0.0000 0.0000 [1 per cell]  4 Sb 3.13, 8 Au 3.18
2 Sb 0.5000 0.5000 0.0000 [1 per cell]  4 Gd 3.13, 8 Au 3.18
3 Au 0.0000 0.5000 0.5000 [2 per cell]  4 Au 3.13, 4 Gd 3.18, 4 Sb 3.18